YAsW: optimized geometry, PBE.

extended XYZ file:
```
3
Lattice="5.828 0.008 -0.009 4.858 3.219 -0.013 0.970 0.297 3.197" Properties=species:S:1:pos:R:3 pbc="T T T"
As 10.376 3.134 0.081
W 4.512 1.365 2.023
Y 7.452 2.252 1.050
```

Formation enthalpy at 0 K in eV per atom: -0.177
Fermi-level density of states in states/eV/atom: 0.63
V in A^3/atom: 20.0
Raw total energy in eV/atom: -8.20
M_tot in μB/f.u.: 0.0

YAsW4: optimized geometry, PBE.

extended XYZ file:
```
6
Lattice="0.000 3.842 3.842 3.842 0.000 3.842 3.842 3.842 0.000" Properties=species:S:1:pos:R:3 pbc="T T T"
W 4.804 4.804 2.880
Y 5.762 5.762 5.762
As 0.000 0.000 0.000
W 2.880 2.880 2.880
W 2.880 4.804 4.804
W 4.804 2.880 4.804
```

Formation enthalpy at 0 K in eV per atom: 0.479
Fermi-level density of states in states/eV/atom: 1.06
V in A^3/atom: 18.9
Raw total energy in eV/atom: -10.01
M_tot in μB/f.u.: 0.0

YAs3W: optimized geometry, PBE.

extended XYZ file:
```
5
Lattice="5.189 0.000 0.000 0.000 5.189 0.000 0.000 0.000 5.189" Properties=species:S:1:pos:R:3 pbc="T T T"
As 0.000 2.595 0.000
As 2.595 0.000 0.000
Y 0.000 0.000 0.000
W 2.595 2.595 2.595
As 0.000 0.000 2.595
```

Formation enthalpy at 0 K in eV per atom: 1.692
Fermi-level density of states in states/eV/atom: 3.05
V in A^3/atom: 27.9
Raw total energy in eV/atom: -4.98
M_tot in μB/f.u.: 0.0

YAsW2: optimized geometry, PBE.

extended XYZ file:
```
4
Lattice="-2.059 -3.130 3.538 -3.136 -4.054 0.534 3.119 -3.733 0.030" Properties=species:S:1:pos:R:3 pbc="T T T"
W -1.317 -5.343 2.115
As -0.519 -2.729 1.025
W -4.917 -7.300 4.008
Y -1.557 -8.188 3.076
```

Formation enthalpy at 0 K in eV per atom: 0.219
Fermi-level density of states in states/eV/atom: 0.63
V in A^3/atom: 19.2
Raw total energy in eV/atom: -9.04
M_tot in μB/f.u.: 0.0

Question: Which value of M_tot does entry 3 give?
Answer: 0.0 μB/f.u.

Question: Among the records above, which one has the lowest formation enthalpy at 0 K?
Answer: YAsW